Version one
AcSnPd3 PBE optimized geometry; calculated volume = 23.72 Å³/atom
1.0
6.3669 0.0000 0.0000
-3.1835 5.5139 0.0000
0.0000 0.0000 13.5102
Ac Sn Pd
4 4 12
Direct
0.0000 0.0000 0.0000
0.0000 0.0000 0.5000
0.3333 0.6667 0.2500
0.6667 0.3333 0.7500
0.3333 0.6667 0.6377
0.3333 0.6667 0.8623
0.6667 0.3333 0.1377
0.6667 0.3333 0.3623
0.0000 0.5000 0.0000
0.0000 0.5000 0.5000
0.1376 0.2752 0.7500
0.1376 0.8624 0.7500
0.2752 0.1376 0.2500
0.5000 0.0000 0.0000
0.5000 0.0000 0.5000
0.5000 0.5000 0.0000
0.5000 0.5000 0.5000
0.7248 0.8624 0.7500
0.8624 0.1376 0.2500
0.8624 0.7248 0.2500

Version two
AcSnPd3 PBE optimized geometry; calculated volume = 23.96 Å³/atom
1.0
5.7561 0.0000 0.0000
0.0000 7.7214 0.0000
0.0000 0.0000 5.3899
Ac Sn Pd
2 2 6
Direct
0.0000 0.0000 0.0000
0.5000 0.5000 0.0000
0.0000 0.5000 0.5000
0.5000 0.0000 0.5000
0.0000 0.5000 0.0000
0.0970 0.1721 0.5000
0.4030 0.6721 0.5000
0.5000 0.0000 0.0000
0.5970 0.3279 0.5000
0.9030 0.8279 0.5000

Q: Which of them is the least stable? A: version two.

Version one
Ac3Sn2Pd7 PBE optimized geometry; calculated volume = 23.12 Å³/atom
1.0
4.4360 0.0000 0.0000
0.0000 4.3490 0.0000
-2.2109 0.0000 14.3832
Ac Sn Pd
3 2 7
Direct
0.0000 0.0000 0.0000
0.3170 0.5000 0.6320
0.6830 0.5000 0.3680
0.1276 0.0000 0.2578
0.8724 0.0000 0.7422
0.0725 0.5000 0.1510
0.2224 0.0000 0.4441
0.4251 0.0000 0.8476
0.5000 0.5000 0.0000
0.5749 0.0000 0.1524
0.7776 0.0000 0.5559
0.9275 0.5000 0.8490

Version two
Ac3Sn2Pd7 PBE optimized geometry; calculated volume = 24.31 Å³/atom
1.0
4.4824 0.0000 0.0000
0.0000 4.1812 0.0000
-1.8713 0.0000 15.5669
Ac Sn Pd
3 2 7
Direct
0.0000 0.0000 0.0000
0.1937 0.0000 0.4030
0.8063 0.0000 0.5970
0.4099 0.5000 0.8324
0.5901 0.5000 0.1676
0.1303 0.5000 0.2626
0.3073 0.5000 0.5838
0.3618 0.0000 0.7257
0.5000 0.5000 0.0000
0.6382 0.0000 0.2743
0.6927 0.5000 0.4162
0.8697 0.5000 0.7374

Q: Which of them is the least stable? A: version two.

Version one
AcSnPd4 PBE optimized geometry; calculated volume = 20.10 Å³/atom
1.0
0.0000 3.9214 3.9214
3.9214 0.0000 3.9214
3.9214 3.9214 0.0000
Ac Sn Pd
1 1 4
Direct
0.0000 0.0000 0.0000
0.7500 0.7500 0.7500
0.3758 0.3758 0.3758
0.3758 0.3758 0.8726
0.3758 0.8726 0.3758
0.8726 0.3758 0.3758

Version two
AcSnPd4 PBE optimized geometry; calculated volume = 20.49 Å³/atom
1.0
2.1762 -9.0890 0.0000
2.1762 9.0890 0.0000
0.0000 0.0000 6.2167
Ac Sn Pd
2 2 8
Direct
0.0901 0.9099 0.7500
0.9099 0.0901 0.2500
0.2279 0.7721 0.2500
0.7721 0.2279 0.7500
0.0776 0.9224 0.2500
0.3389 0.6610 0.5318
0.3389 0.6610 0.9682
0.5000 0.5000 0.0000
0.5000 0.5000 0.5000
0.6610 0.3389 0.0318
0.6610 0.3389 0.4682
0.9224 0.0776 0.7500

Version three
AcSnPd4 PBE optimized geometry; calculated volume = 21.28 Å³/atom
1.0
5.3677 -3.7576 0.0000
5.3677 3.7576 0.0000
-1.6925 0.0000 6.3304
Ac Sn Pd
2 2 8
Direct
0.1646 0.1646 0.2648
0.8354 0.8354 0.7352
0.4197 0.4197 0.7202
0.5803 0.5803 0.2798
0.1784 0.1784 0.7554
0.1847 0.5701 0.0648
0.2341 0.7659 0.5000
0.4299 0.8153 0.9352
0.5701 0.1847 0.0648
0.7659 0.2341 0.5000
0.8153 0.4299 0.9352
0.8216 0.8216 0.2446

Q: Which of them is the least stable? A: version one.

Version one
AcSn2Pd4 PBE optimized geometry; calculated volume = 20.85 Å³/atom
1.0
17.3134 0.0000 0.0000
0.0000 4.6589 0.0000
0.0000 0.0000 7.2379
Ac Sn Pd
4 8 16
Direct
0.1388 0.2500 0.1277
0.3612 0.7500 0.6277
0.6388 0.2500 0.3723
0.8612 0.7500 0.8723
0.0581 0.7500 0.7398
0.2038 0.2500 0.6582
0.2962 0.7500 0.1582
0.4419 0.2500 0.2398
0.5581 0.7500 0.7602
0.7038 0.2500 0.8418
0.7962 0.7500 0.3418
0.9419 0.2500 0.2602
0.0184 0.7500 0.1130
0.0534 0.2500 0.5329
0.1719 0.7500 0.4475
0.2099 0.7500 0.8554
0.2901 0.2500 0.3554
0.3281 0.2500 0.9475
0.4466 0.7500 0.0329
0.4816 0.2500 0.6130
0.5184 0.7500 0.3870
0.5534 0.2500 0.9671
0.6719 0.7500 0.0525
0.7099 0.7500 0.6446
0.7901 0.2500 0.1446
0.8281 0.2500 0.5525
0.9466 0.7500 0.4671
0.9816 0.2500 0.8870

Version two
AcSn2Pd4 PBE optimized geometry; calculated volume = 20.96 Å³/atom
1.0
8.2857 0.0000 0.0000
0.0000 8.2857 0.0000
0.0000 0.0000 4.2747
Ac Sn Pd
2 4 8
Direct
0.0000 0.0000 0.0000
0.5000 0.5000 0.5000
0.2198 0.2198 0.5000
0.2802 0.7198 0.0000
0.7198 0.2802 0.0000
0.7802 0.7802 0.5000
0.0888 0.6530 0.5000
0.1530 0.4112 0.0000
0.3470 0.9112 0.5000
0.4112 0.1530 0.0000
0.5888 0.8470 0.0000
0.6530 0.0888 0.5000
0.8470 0.5888 0.0000
0.9112 0.3470 0.5000

Q: Which of them is the least stable? A: version two.

Version one
Ac2Sn3Pd PBE optimized geometry; calculated volume = 30.16 Å³/atom
1.0
4.5655 0.0000 0.0000
0.0000 4.8660 0.0000
0.0000 0.0000 8.1457
Ac Sn Pd
2 3 1
Direct
0.0000 0.0000 0.0000
0.0000 0.5000 0.4882
0.5000 0.0000 0.6348
0.5000 0.5000 0.1760
0.5000 0.5000 0.8247
0.5000 0.0000 0.3076

Version two
Ac2Sn3Pd PBE optimized geometry; calculated volume = 30.19 Å³/atom
1.0
0.0000 4.7566 8.2484
4.6174 0.0000 8.2484
4.6174 4.7566 0.0000
Ac Sn Pd
4 6 2
Direct
0.2465 0.7535 0.7535
0.2500 0.2500 0.2500
0.7500 0.7500 0.7500
0.7535 0.2465 0.2465
0.1732 0.1732 0.8268
0.1743 0.6525 0.3475
0.3475 0.8257 0.1743
0.6525 0.1743 0.8257
0.8257 0.3475 0.6525
0.8268 0.8268 0.1732
0.3332 0.3332 0.6668
0.6668 0.6668 0.3332

Q: Which of them is the least stable? A: version one.

Version one
AcSn2Pd2 PBE optimized geometry; calculated volume = 24.02 Å³/atom
1.0
4.7046 0.0000 0.0000
0.0000 4.7046 0.0000
0.0000 0.0000 10.8511
Ac Sn Pd
2 4 4
Direct
0.2500 0.2500 0.2423
0.7500 0.7500 0.7577
0.2500 0.2500 0.8762
0.2500 0.7500 0.5000
0.7500 0.2500 0.5000
0.7500 0.7500 0.1238
0.2500 0.2500 0.6308
0.2500 0.7500 0.0000
0.7500 0.2500 0.0000
0.7500 0.7500 0.3692

Version two
AcSn2Pd2 PBE optimized geometry; calculated volume = 24.90 Å³/atom
1.0
0.0000 5.7729 7.1720
3.0073 0.0000 7.1720
3.0073 5.7729 0.0000
Ac Sn Pd
2 4 4
Direct
0.1250 0.1250 0.1250
0.8750 0.8750 0.8750
0.1766 0.5734 0.1766
0.4266 0.8234 0.4266
0.5734 0.1766 0.5734
0.8234 0.4266 0.8234
0.2752 0.2752 0.4748
0.4748 0.4748 0.2752
0.5252 0.5252 0.7248
0.7248 0.7248 0.5252

Q: Which of them is the least stable? A: version two.